Material: Cs3Ac2PdO6
Method: DFT, GGA-PBE
State: optimized geometry

Properties
The calculation puts the magnetization at 1.1 Bohr magnetons per cell. The space group is C2/m (12). Its total energy is -5.64 eV per atom.

a b c (Å): 6.457 6.457 7.765
angles (deg): 104.82 104.82 111.78
Site moments in Bohr magnetons follow the coordinates.
Positions (direct):
O  0.928  0.643  0.868  0.11
O  0.643  0.928  0.868  0.11
O  0.674  0.674  0.233  0.05
O  0.326  0.326  0.767  0.05
O  0.357  0.072  0.132  0.11
O  0.072  0.357  0.132  0.11
Cs  0.500  0.500  0.500  0.01
Cs  0.164  0.836  0.500  0.00
Cs  0.836  0.164  0.500  0.00
Ac  0.333  0.667  0.000  0.02
Ac  0.667  0.333  0.000  0.02
Pd  0.000  0.000  0.000  0.40